# 1
CdAgGe: optimized geometry, PBE.

Unit cell a=4.5360 b=4.5360 c=4.5360 alpha=60.00 beta=60.00 gamma=60.00
With the nearest neighbours (Å) after each atom.
Positions (direct):
1 Cd 0.0000 0.0000 0.0000  4 Ge 2.78
2 Ag 0.5000 0.5000 0.5000  4 Ge 2.78
3 Ge 0.7500 0.7500 0.7500  4 Ag 2.78, 4 Cd 2.78

Values from the calculation:
Crystal system: cubic
Calculated density, g cm⁻³: 7.37
Magnetic moment, μB per formula unit: 0.00
Space-group type: F-43m, No. 216

---

# 2
Cd2Ag2Ge: optimized geometry, PBE.

Unit cell a=7.5246 b=7.5246 c=7.5246 alpha=149.65 beta=149.65 gamma=43.46
With the nearest neighbours (Å) after each atom.
Positions (direct):
1 Cd 0.2500 0.7500 0.5000  4 Cd 2.79, 4 Ag 2.92
2 Cd 0.7500 0.2500 0.5000  4 Cd 2.79, 4 Ag 2.92
3 Ag 0.0961 0.0961 0.0000  1 Ag 2.69, 4 Cd 2.92
4 Ag 0.9039 0.9039 0.0000  1 Ag 2.69, 4 Cd 2.92
5 Ge 0.5000 0.5000 0.0000  8 Ag 3.09

Values from the calculation:
Crystal system: tetragonal
Calculated density, g cm⁻³: 7.86
Magnetic moment, μB per formula unit: 0.00
Space-group type: I4/mmm, No. 139

---

# 3
CdAg2Ge: optimized geometry, PBE.

Unit cell a=4.7746 b=4.7746 c=4.7746 alpha=60.00 beta=60.00 gamma=60.00
With the nearest neighbours (Å) after each atom.
Positions (direct):
1 Cd 0.0000 0.0000 0.0000  8 Ag 2.92
2 Ag 0.2500 0.2500 0.2500  4 Ge 2.92, 4 Cd 2.92
3 Ag 0.7500 0.7500 0.7500  4 Cd 2.92, 4 Ge 2.92
4 Ge 0.5000 0.5000 0.5000  8 Ag 2.92

Values from the calculation:
Crystal system: cubic
Calculated density, g cm⁻³: 8.65
Magnetic moment, μB per formula unit: 0.00
Space-group type: Fm-3m, No. 225

---

# 4
CdAg2Ge2: optimized geometry, PBE.

Unit cell a=8.3322 b=8.3322 c=2.9026 alpha=90.00 beta=90.00 gamma=90.00
With the nearest neighbours (Å) after each atom.
Positions (direct):
1 Cd 0.0000 0.0000 0.0000  2 Cd 2.90
2 Cd 0.5000 0.5000 0.0000  2 Cd 2.90
3 Ag 0.1753 0.3247 0.5000  6 Ge 2.80-2.90, 2 Ag 2.90
4 Ag 0.3247 0.8247 0.5000  6 Ge 2.80-2.90, 2 Ag 2.90
5 Ag 0.6753 0.1753 0.5000  6 Ge 2.80-2.90, 2 Ag 2.90
6 Ag 0.8247 0.6753 0.5000  6 Ge 2.80-2.90, 2 Ag 2.90
7 Ge 0.1214 0.6214 0.0000  6 Ag 2.80-2.90, 3 Ge 2.86-2.90
8 Ge 0.3786 0.1214 0.0000  6 Ag 2.80-2.90, 3 Ge 2.86-2.90
9 Ge 0.6214 0.8786 0.0000  6 Ag 2.80-2.90, 3 Ge 2.86-2.90
10 Ge 0.8786 0.3786 0.0000  6 Ag 2.80-2.90, 3 Ge 2.86-2.90

Values from the calculation:
Crystal system: tetragonal
Calculated density, g cm⁻³: 7.80
Magnetic moment, μB per formula unit: 0.00
Space-group type: P4/mbm, No. 127

---

# 5
Cd2AgGe: optimized geometry, PBE.

Unit cell a=7.6329 b=7.6329 c=7.6329 alpha=131.15 beta=131.15 gamma=71.57
With the nearest neighbours (Å) after each atom.
Positions (direct):
1 Cd 0.1035 0.6250 0.9785  2 Ge 2.64, 2 Ag 2.80
2 Cd 0.3750 0.3535 0.4785  2 Ge 2.64, 2 Ag 2.80
3 Cd 0.6465 0.1250 0.0215  2 Ge 2.64, 2 Ag 2.80
4 Cd 0.8750 0.8965 0.5215  2 Ge 2.64, 2 Ag 2.80
5 Ag 0.2500 0.7500 0.5000  4 Cd 2.80
6 Ag 0.5000 0.5000 0.0000  4 Cd 2.80
7 Ge 0.0000 0.0000 0.0000  4 Cd 2.64
8 Ge 0.7500 0.2500 0.5000  4 Cd 2.64

Values from the calculation:
Crystal system: tetragonal
Calculated density, g cm⁻³: 5.46
Magnetic moment, μB per formula unit: 0.00
Space-group type: I-42d, No. 122

---

# 6
CdInAgGe: optimized geometry, PBE.

Unit cell a=4.9585 b=4.9585 c=4.9585 alpha=60.00 beta=60.00 gamma=60.00
With the nearest neighbours (Å) after each atom.
Positions (direct):
1 Cd 0.0000 0.0000 0.0000  4 Ge 3.04, 4 Ag 3.04
2 In 0.5000 0.5000 0.5000  4 Ge 3.04, 4 Ag 3.04
3 Ag 0.2500 0.2500 0.2500  4 Cd 3.04, 4 In 3.04
4 Ge 0.7500 0.7500 0.7500  4 In 3.04, 4 Cd 3.04

Values from the calculation:
Crystal system: cubic
Calculated density, g cm⁻³: 7.85
Magnetic moment, μB per formula unit: 0.00
Space-group type: F-43m, No. 216

---

# 7
KCdAg2Ge: optimized geometry, PBE.

Unit cell a=5.0824 b=5.0824 c=5.3472 alpha=90.00 beta=90.00 gamma=90.00
With the nearest neighbours (Å) after each atom.
Positions (direct):
1 K 0.0000 0.0000 0.0000  4 Cd 3.59, 8 Ag 3.69
2 Cd 0.5000 0.5000 0.0000  2 Ge 2.67
3 Ag 0.0000 0.5000 0.5000  2 Ge 2.54
4 Ag 0.5000 0.0000 0.5000  2 Ge 2.54
5 Ge 0.5000 0.5000 0.5000  4 Ag 2.54, 2 Cd 2.67

Values from the calculation:
Crystal system: tetragonal
Calculated density, g cm⁻³: 5.29
Magnetic moment, μB per formula unit: 0.00
Space-group type: P4/mmm, No. 123

---

# 8
K2Cd12Ag3Ge: optimized geometry, PBE.

Unit cell a=11.3002 b=11.3002 c=11.3002 alpha=37.97 beta=37.97 gamma=37.97
With the nearest neighbours (Å) after each atom.
Positions (direct):
1 K 0.1496 0.1496 0.1496  6 Cd 3.59-3.60
2 K 0.8504 0.8504 0.8504  6 Cd 3.59-3.60
3 Cd 0.0838 0.0838 0.6877  2 Ag 2.82, 4 Cd 2.91-2.92
4 Cd 0.0838 0.6877 0.0838  2 Ag 2.82, 4 Cd 2.91-2.92
5 Cd 0.1352 0.5788 0.5788  1 Ge 2.87, 2 Cd 2.92, 1 Ag 3.08
6 Cd 0.3123 0.9162 0.9162  2 Ag 2.82, 4 Cd 2.91-2.92
7 Cd 0.4212 0.4212 0.8648  1 Ge 2.87, 2 Cd 2.92, 1 Ag 3.08
8 Cd 0.4212 0.8648 0.4212  1 Ge 2.87, 2 Cd 2.92, 1 Ag 3.08
9 Cd 0.5788 0.1352 0.5788  1 Ge 2.87, 2 Cd 2.92, 1 Ag 3.08
10 Cd 0.5788 0.5788 0.1352  1 Ge 2.87, 2 Cd 2.92, 1 Ag 3.08
11 Cd 0.6877 0.0838 0.0838  2 Ag 2.82, 4 Cd 2.91-2.92
12 Cd 0.8648 0.4212 0.4212  1 Ge 2.87, 2 Cd 2.92, 1 Ag 3.08
13 Cd 0.9162 0.3123 0.9162  2 Ag 2.82, 4 Cd 2.91-2.92
14 Cd 0.9162 0.9162 0.3123  2 Ag 2.82, 4 Cd 2.91-2.92
15 Ag 0.0000 0.5000 0.5000  6 Cd 2.82-3.08
16 Ag 0.5000 0.0000 0.5000  6 Cd 2.82-3.08
17 Ag 0.5000 0.5000 0.0000  6 Cd 2.82-3.08
18 Ge 0.5000 0.5000 0.5000  6 Cd 2.87

Values from the calculation:
Crystal system: trigonal
Calculated density, g cm⁻³: 6.18
Magnetic moment, μB per formula unit: 0.00
Space-group type: R-3m, No. 166

---

# 9
KCd4Ag2Ge: optimized geometry, PBE.

Unit cell a=11.0318 b=11.0318 c=11.0318 alpha=24.73 beta=24.73 gamma=24.73
With the nearest neighbours (Å) after each atom.
Positions (direct):
1 K 0.0000 0.0000 0.0000  6 Cd 3.59
2 Cd 0.1280 0.1280 0.1280  3 Ag 2.94, 3 Ge 3.00, 3 Cd 3.25
3 Cd 0.4060 0.4060 0.4060  3 Ag 2.81, 1 Ge 3.02
4 Cd 0.5940 0.5940 0.5940  3 Ag 2.81, 1 Ge 3.02
5 Cd 0.8720 0.8720 0.8720  3 Ag 2.94, 3 Ge 3.00, 3 Cd 3.25
6 Ag 0.2400 0.2400 0.2400  6 Cd 2.81-2.94
7 Ag 0.7600 0.7600 0.7600  6 Cd 2.81-2.94
8 Ge 0.5000 0.5000 0.5000  8 Cd 3.00-3.02

Values from the calculation:
Crystal system: trigonal
Calculated density, g cm⁻³: 6.25
Magnetic moment, μB per formula unit: 0.00
Space-group type: R-3m, No. 166

---

# 10
LaCdAgGe2: optimized geometry, PBE.

Unit cell a=6.6364 b=6.6364 c=6.6364 alpha=141.61 beta=141.61 gamma=55.41
With the nearest neighbours (Å) after each atom.
Positions (direct):
1 La 0.0000 0.0000 0.0000  8 Ge 3.33, 4 Cd 3.66, 4 Ag 3.66
2 Cd 0.7500 0.2500 0.5000  4 Ge 2.75, 4 Ag 3.09
3 Ag 0.2500 0.7500 0.5000  4 Ge 2.75, 4 Cd 3.09
4 Ge 0.3932 0.3932 0.0000  1 Ge 2.51, 2 Cd 2.75, 2 Ag 2.75
5 Ge 0.6068 0.6068 0.0000  1 Ge 2.51, 2 Cd 2.75, 2 Ag 2.75

Values from the calculation:
Crystal system: tetragonal
Calculated density, g cm⁻³: 7.49
Magnetic moment, μB per formula unit: 0.00
Space-group type: I-4m2, No. 119

---

| no. | E_tot (eV per atom) |
| --- | --- |
| 1 | -2.660 |
| 2 | -2.187 |
| 3 | -2.670 |
| 4 | -2.977 |
| 5 | -1.829 |
| 6 | -2.609 |
| 7 | -2.377 |
| 8 | -1.394 |
| 9 | -1.804 |
| 10 | -4.010 |